The following is a DFT calculation (GGA+U) of a relaxed structure of Gd3V5O12.

E_tot   -757.84 eV/cell
Total magnetization   31.56 μB per formula unit

a = 10.9826 Å, b = 10.9826 Å, c = 10.9826 Å
α = 109.47°, β = 109.47°, γ = 109.47°
Last column: nearest neighbours and their distance in Å.
Element x y z (fractional)
Gd: 0.1250 0.2500 0.3750  8 O 2.40-2.49
Gd: 0.1250 0.3750 0.7500  8 O 2.40-2.49
Gd: 0.2500 0.3750 0.1250  8 O 2.40-2.49
Gd: 0.2500 0.8750 0.6250  8 O 2.40-2.49
Gd: 0.3750 0.1250 0.2500  8 O 2.40-2.49
Gd: 0.3750 0.7500 0.1250  8 O 2.40-2.49
Gd: 0.6250 0.2500 0.8750  8 O 2.40-2.49
Gd: 0.6250 0.8750 0.7500  8 O 2.40-2.49
Gd: 0.7500 0.1250 0.3750  8 O 2.40-2.49
Gd: 0.7500 0.6250 0.8750  8 O 2.40-2.49
Gd: 0.8750 0.6250 0.2500  8 O 2.40-2.49
Gd: 0.8750 0.7500 0.6250  8 O 2.40-2.49
V: 0.0000 0.0000 0.0000  6 O 2.10
V: 0.0000 0.0000 0.5000  6 O 2.10
V: 0.0000 0.5000 0.0000  6 O 2.10
V: 0.0000 0.5000 0.5000  6 O 2.10
V: 0.1250 0.7500 0.8750  4 O 1.90
V: 0.1250 0.8750 0.2500  4 O 1.90
V: 0.2500 0.1250 0.8750  4 O 1.90
V: 0.2500 0.6250 0.3750  4 O 1.90
V: 0.3750 0.2500 0.6250  4 O 1.90
V: 0.3750 0.6250 0.7500  4 O 1.90
V: 0.5000 0.0000 0.0000  6 O 2.10
V: 0.5000 0.0000 0.5000  6 O 2.10
V: 0.5000 0.5000 0.0000  6 O 2.10
V: 0.5000 0.5000 0.5000  6 O 2.10
V: 0.6250 0.3750 0.2500  4 O 1.90
V: 0.6250 0.7500 0.3750  4 O 1.90
V: 0.7500 0.3750 0.6250  4 O 1.90
V: 0.7500 0.8750 0.1250  4 O 1.90
V: 0.8750 0.1250 0.7500  4 O 1.90
V: 0.8750 0.2500 0.1250  4 O 1.90
O: 0.0314 0.2108 0.1265  2 V 1.90-2.10
O: 0.0314 0.3206 0.9049  2 V 1.90-2.10
O: 0.0843 0.7108 0.6794  2 V 1.90-2.10
O: 0.0843 0.8735 0.4049  2 V 1.90-2.10
O: 0.0951 0.6265 0.4157  2 V 1.90-2.10
O: 0.0951 0.9686 0.6794  2 V 1.90-2.10
O: 0.1265 0.0314 0.2108  2 V 1.90-2.10
O: 0.1265 0.5951 0.9157  2 V 1.90-2.10
O: 0.1794 0.2108 0.5843  2 V 1.90-2.10
O: 0.1794 0.4686 0.5951  2 V 1.90-2.10
O: 0.2108 0.1265 0.0314  2 V 1.90-2.10
O: 0.2108 0.5843 0.1794  2 V 1.90-2.10
O: 0.2892 0.3206 0.9157  2 V 1.90-2.10
O: 0.2892 0.4686 0.3735  2 V 1.90-2.10
O: 0.3206 0.9049 0.0314  2 V 1.90-2.10
O: 0.3206 0.9157 0.2892  2 V 1.90-2.10
O: 0.3735 0.2892 0.4686  2 V 1.90-2.10
O: 0.3735 0.5843 0.9049  2 V 1.90-2.10
O: 0.4049 0.0843 0.8735  2 V 1.90-2.10
O: 0.4049 0.8206 0.5314  2 V 1.90-2.10
O: 0.4157 0.0951 0.6265  2 V 1.90-2.10
O: 0.4157 0.8206 0.7892  2 V 1.90-2.10
O: 0.4686 0.3735 0.2892  2 V 1.90-2.10
O: 0.4686 0.5951 0.1794  2 V 1.90-2.10
O: 0.5314 0.4049 0.8206  2 V 1.90-2.10
O: 0.5314 0.6265 0.7108  2 V 1.90-2.10
O: 0.5843 0.1794 0.2108  2 V 1.90-2.10
O: 0.5843 0.9049 0.3735  2 V 1.90-2.10
O: 0.5951 0.1794 0.4686  2 V 1.90-2.10
O: 0.5951 0.9157 0.1265  2 V 1.90-2.10
O: 0.6265 0.4157 0.0951  2 V 1.90-2.10
O: 0.6265 0.7108 0.5314  2 V 1.90-2.10
O: 0.6794 0.0843 0.7108  2 V 1.90-2.10
O: 0.6794 0.0951 0.9686  2 V 1.90-2.10
O: 0.7108 0.5314 0.6265  2 V 1.90-2.10
O: 0.7108 0.6794 0.0843  2 V 1.90-2.10
O: 0.7892 0.4157 0.8206  2 V 1.90-2.10
O: 0.7892 0.8735 0.9686  2 V 1.90-2.10
O: 0.8206 0.5314 0.4049  2 V 1.90-2.10
O: 0.8206 0.7892 0.4157  2 V 1.90-2.10
O: 0.8735 0.4049 0.0843  2 V 1.90-2.10
O: 0.8735 0.9686 0.7892  2 V 1.90-2.10
O: 0.9049 0.0314 0.3206  2 V 1.90-2.10
O: 0.9049 0.3735 0.5843  2 V 1.90-2.10
O: 0.9157 0.1265 0.5951  2 V 1.90-2.10
O: 0.9157 0.2892 0.3206  2 V 1.90-2.10
O: 0.9686 0.6794 0.0951  2 V 1.90-2.10
O: 0.9686 0.7892 0.8735  2 V 1.90-2.10